VASP calculation (PBE+U) on a relaxed Mn3ClO crystal.

The structure in POSCAR format:
```
Mn3ClO
1.0
-0.576 -4.234 -1.445
4.242 -0.054 -1.531
1.420 -1.554 3.989
Mn O Cl
3 1 1
Direct
0.000 0.500 0.000 Mn
0.000 0.000 0.500 Mn
0.500 0.000 0.000 Mn
0.000 0.000 0.000 O
0.500 0.500 0.500 Cl
```

uncorrected energy	-29.74	eV/cell
theoretical density	3.91	g/cm³
ΔE to the lowest computed polymorph	0.00	kJ/mol of atoms
size of the total moment	13.9	μB/f.u.
DOS at the Fermi energy	3.66	states/eV/cell